The following is a DFT calculation (GGA+U) of crystalline LaTlW2O8 at its relaxed geometry.

The calculation puts the calculated total energy at -7.2862 eV per atom. The mass density comes out at 5.952 g/cm³. The total moment comes out at 0.000 Bohr magnetons per cell.

The space group is C2/m (No. 12) and the conventional cell measures 10.763, 15.479 and 7.059 Å, with angles of 90.00, 127.24 and 90.00 degrees. The asymmetric unit holds La at (0.242, 0.000, 0.465), Tl at (0.000, 0.218, 0.500), W at (0.000, 0.382, 0.000), W at (0.239, 0.000, 0.996), O at (0.014, 0.500, 0.824), O at (0.023, 0.313, 0.222), O at (0.028, 0.000, 0.749), O at (0.223, 0.413, 0.196) and O at (0.249, 0.415, 0.810).